First-principles (GGA-PBE) data for a relaxed structure of YErAu, as listed in Alexandria.

- Space-group type: P4/nmm
- Density of states at the Fermi level: 4.33 states/eV/f.u.
- E: -5.328 eV per atom
- Distance to the lowest polymorph of the same formula: 14 meV per atom

abc: 4.726 4.726 7.306
angles: 90.00 90.00 90.00
Sites, in units of the cell vectors:
Y 0.250 0.250 0.127
Y 0.750 0.750 0.873
Er 0.250 0.750 0.500
Er 0.750 0.250 0.500
Au 0.250 0.250 0.738
Au 0.750 0.750 0.262

First-principles (GGA-PBE) data for a relaxed structure of Sr2Ga3Ag4Au, as listed in Alexandria.

- Space-group type: P-4m2
- Density of states at the Fermi level: 4.90 states/eV/f.u.
- E: -3.008 eV per atom

abc: 4.340 4.340 12.015
angles: 90.00 90.00 90.00
Sites, in units of the cell vectors:
Sr 0.000 0.500 0.249
Sr 0.500 0.000 0.751
Ga 0.000 0.500 0.866
Ga 0.500 0.000 0.134
Ga 0.500 0.500 0.500
Ag 0.000 0.000 0.000
Ag 0.000 0.500 0.648
Ag 0.500 0.000 0.352
Ag 0.500 0.500 0.000
Au 0.000 0.000 0.500

First-principles (GGA-PBE) data for a relaxed structure of BaSeF, as listed in Alexandria.

- Space-group type: C2/m
- Density of states at the Fermi level: 0.00 states/eV/f.u.
- E: -5.038 eV per atom
- ΔE_f (raw): -7.84 eV per formula unit

abc: 4.523 4.523 7.698
angles: 99.23 99.23 90.59
Sites, in units of the cell vectors:
Ba 0.208 0.208 0.300
Ba 0.792 0.792 0.700
Se 0.352 0.352 0.872
Se 0.648 0.648 0.128
F 0.240 0.760 0.500
F 0.760 0.240 0.500

First-principles (GGA-PBE) data for a relaxed structure of CeMg2Si2, as listed in Alexandria.

- Space-group type: P4/mmm
- Density of states at the Fermi level: 5.03 states/eV/f.u.
- E: -4.421 eV per atom
- ΔE_f (raw): -2.14 eV per formula unit

abc: 4.212 4.212 5.813
angles: 90.00 90.00 90.00
Sites, in units of the cell vectors:
Ce 0.000 0.000 0.000
Mg 0.000 0.500 0.500
Mg 0.500 0.000 0.500
Si 0.500 0.500 0.197
Si 0.500 0.500 0.803

First-principles (GGA-PBE) data for a relaxed structure of KSb7, as listed in Alexandria.

- Space-group type: Fm-3m
- Density of states at the Fermi level: 4.86 states/eV/f.u.
- E: -3.580 eV per atom
- ΔE_f (raw): 1.31 eV per formula unit

abc: 6.838 6.838 6.838
angles: 60.00 60.00 60.00
Sites, in units of the cell vectors:
K 0.000 0.000 0.000
Sb 0.000 0.000 0.500
Sb 0.000 0.500 0.000
Sb 0.000 0.500 0.500
Sb 0.500 0.000 0.000
Sb 0.500 0.000 0.500
Sb 0.500 0.500 0.000
Sb 0.500 0.500 0.500

First-principles (GGA-PBE) data for a relaxed structure of Dy2ThPa, as listed in Alexandria.

- Space-group type: R-3m
- Density of states at the Fermi level: 5.37 states/eV/f.u.
- E: -6.233 eV per atom
- Distance to the lowest polymorph of the same formula: 131 meV per atom

abc: 12.320 12.320 12.320
angles: 15.72 15.72 15.72
Sites, in units of the cell vectors:
Dy 0.088 0.088 0.088
Dy 0.912 0.912 0.912
Th 0.500 0.500 0.500
Pa 0.000 0.000 0.000

First-principles (GGA-PBE) data for a relaxed structure of DyAl2Au6, as listed in Alexandria.

- Space-group type: C2/m
- Density of states at the Fermi level: 3.55 states/eV/f.u.
- E: -3.922 eV per atom
- Distance to the lowest polymorph of the same formula: 0 meV per atom

abc: 7.140 7.140 4.508
angles: 105.12 105.12 58.79
Sites, in units of the cell vectors:
Dy 0.000 0.000 0.000
Al 0.314 0.314 0.303
Al 0.686 0.686 0.697
Au 0.118 0.527 0.813
Au 0.285 0.715 0.500
Au 0.473 0.882 0.187
Au 0.527 0.118 0.813
Au 0.715 0.285 0.500
Au 0.882 0.473 0.187

First-principles (GGA-PBE) data for a relaxed structure of CrTc3P, as listed in Alexandria.

- Space-group type: Pm-3m
- Density of states at the Fermi level: 8.86 states/eV/f.u.
- E: -8.488 eV per atom
- Distance to the lowest polymorph of the same formula: 0 meV per atom

abc: 4.306 4.306 4.306
angles: 90.00 90.00 90.00
Sites, in units of the cell vectors:
Cr 0.000 0.000 0.000
Tc 0.000 0.500 0.500
Tc 0.500 0.000 0.500
Tc 0.500 0.500 0.000
P 0.500 0.500 0.500

First-principles (GGA-PBE) data for a relaxed structure of TbMgGePd, as listed in Alexandria.

- Space-group type: F-43m
- Density of states at the Fermi level: 1.62 states/eV/f.u.
- E: -4.670 eV per atom

abc: 4.822 4.822 4.822
angles: 60.00 60.00 60.00
Sites, in units of the cell vectors:
Tb 0.000 0.000 0.000
Mg 0.500 0.500 0.500
Ge 0.750 0.750 0.750
Pd 0.250 0.250 0.250

First-principles (GGA-PBE) data for a relaxed structure of Nb2AlGa2, as listed in Alexandria.

- Space-group type: P4/mbm
- Density of states at the Fermi level: 7.34 states/eV/f.u.
- E: -6.188 eV per atom
- Distance to the lowest polymorph of the same formula: 18 meV per atom

abc: 6.671 6.671 3.743
angles: 90.00 90.00 90.00
Sites, in units of the cell vectors:
Nb 0.169 0.331 0.000
Nb 0.331 0.831 0.000
Nb 0.669 0.169 0.000
Nb 0.831 0.669 0.000
Al 0.000 0.000 0.500
Al 0.500 0.500 0.500
Ga 0.131 0.631 0.500
Ga 0.369 0.131 0.500
Ga 0.631 0.869 0.500
Ga 0.869 0.369 0.500

First-principles (GGA-PBE) data for a relaxed structure of Sm2AsN, as listed in Alexandria.

- Space-group type: R3m
- Density of states at the Fermi level: 0.55 states/eV/f.u.
- E: -6.652 eV per atom
- Distance to the lowest polymorph of the same formula: 281 meV per atom
- ΔE_f (raw): -4.20 eV per formula unit

abc: 7.210 7.210 7.210
angles: 30.38 30.38 30.38
Sites, in units of the cell vectors:
Sm 0.000 0.000 0.000
Sm 0.148 0.148 0.148
As 0.573 0.573 0.573
N 0.402 0.402 0.402

First-principles (GGA-PBE) data for a relaxed structure of BaHg6Au, as listed in Alexandria.

- Space-group type: P4/mmm
- Density of states at the Fermi level: 4.46 states/eV/f.u.
- E: -1.085 eV per atom

abc: 5.088 5.088 8.875
angles: 90.00 90.00 90.00
Sites, in units of the cell vectors:
Ba 0.000 0.000 0.000
Hg 0.000 0.500 0.329
Hg 0.000 0.500 0.671
Hg 0.500 0.000 0.329
Hg 0.500 0.000 0.671
Hg 0.500 0.500 0.160
Hg 0.500 0.500 0.840
Au 0.000 0.000 0.500

Please write out number 6 again, unchanged.
First-principles (GGA-PBE) data for a relaxed structure of Dy2ThPa, as listed in Alexandria.

- Space-group type: R-3m
- Density of states at the Fermi level: 5.37 states/eV/f.u.
- E: -6.233 eV per atom
- Distance to the lowest polymorph of the same formula: 131 meV per atom

abc: 12.320 12.320 12.320
angles: 15.72 15.72 15.72
Sites, in units of the cell vectors:
Dy 0.088 0.088 0.088
Dy 0.912 0.912 0.912
Th 0.500 0.500 0.500
Pa 0.000 0.000 0.000

Repeat the eleventh record exactly.
First-principles (GGA-PBE) data for a relaxed structure of Sm2AsN, as listed in Alexandria.

- Space-group type: R3m
- Density of states at the Fermi level: 0.55 states/eV/f.u.
- E: -6.652 eV per atom
- Distance to the lowest polymorph of the same formula: 281 meV per atom
- ΔE_f (raw): -4.20 eV per formula unit

abc: 7.210 7.210 7.210
angles: 30.38 30.38 30.38
Sites, in units of the cell vectors:
Sm 0.000 0.000 0.000
Sm 0.148 0.148 0.148
As 0.573 0.573 0.573
N 0.402 0.402 0.402

Please write out number 12 again, unchanged.
First-principles (GGA-PBE) data for a relaxed structure of BaHg6Au, as listed in Alexandria.

- Space-group type: P4/mmm
- Density of states at the Fermi level: 4.46 states/eV/f.u.
- E: -1.085 eV per atom

abc: 5.088 5.088 8.875
angles: 90.00 90.00 90.00
Sites, in units of the cell vectors:
Ba 0.000 0.000 0.000
Hg 0.000 0.500 0.329
Hg 0.000 0.500 0.671
Hg 0.500 0.000 0.329
Hg 0.500 0.000 0.671
Hg 0.500 0.500 0.160
Hg 0.500 0.500 0.840
Au 0.000 0.000 0.500

> Which formula does entry 10 have?

Nb2AlGa2